Record 1
Material: SnRu3I
Method: DFT, PBE
State: relaxed

Structure (POSCAR):
```
SnRu3I
1.0
4.869 0.000 0.000
0.000 4.869 0.000
0.000 0.000 4.869
Sn Ru I
1 3 1
Direct
0.000 0.000 0.000
0.000 0.500 0.500
0.500 0.000 0.500
0.500 0.500 0.000
0.500 0.500 0.500
```

Calculated values
total magnetization: 3.751 μB per cell
raw formation energy: 1.593 eV per atom
relative energy among the computed polymorphs: 0.0 meV per atom


Record 2
Material: SnRuI3
Method: DFT, PBE
State: relaxed

Structure (POSCAR):
```
SnRuI3
1.0
5.387 0.000 0.000
0.000 5.387 0.000
0.000 0.000 5.387
Sn Ru I
1 1 3
Direct
0.000 0.000 0.000
0.500 0.500 0.500
0.000 0.500 0.500
0.500 0.000 0.500
0.500 0.500 0.000
```

Calculated values
total magnetization: 0.000 μB per cell
raw formation energy: 0.312 eV per atom
relative energy among the computed polymorphs: 0.0 meV per atom


Record 3
Material: Sn2Ru2I
Method: DFT, PBE
State: relaxed

Structure (POSCAR):
```
Sn2Ru2I
1.0
-2.318 2.318 5.338
2.318 -2.318 5.338
2.318 2.318 -5.338
Sn Ru I
2 2 1
Direct
0.131 0.131 0.000
0.869 0.869 0.000
0.250 0.750 0.500
0.750 0.250 0.500
0.500 0.500 0.000
```

Calculated values
total magnetization: 0.000 μB per cell
raw formation energy: 0.489 eV per atom
relative energy among the computed polymorphs: 0.0 meV per atom


Record 4
Material: SnRuI
Method: DFT, PBE
State: relaxed

Structure (POSCAR):
```
SnRuI
1.0
2.685 -2.649 0.000
2.685 2.649 0.000
-0.893 0.000 10.905
Sn Ru I
2 2 2
Direct
0.186 0.186 0.133
0.814 0.814 0.867
0.319 0.319 0.895
0.681 0.681 0.105
0.273 0.273 0.645
0.727 0.727 0.355
```

Calculated values
total magnetization: 0.001 μB per cell
raw formation energy: 0.145 eV per atom


Record 5
Material: SrSn2RuI
Method: DFT, PBE
State: relaxed

Structure (POSCAR):
```
SrSn2RuI
1.0
5.080 0.000 0.000
0.000 5.080 0.000
0.000 0.000 6.246
Sr Sn Ru I
1 2 1 1
Direct
0.000 0.000 0.000
0.000 0.500 0.500
0.500 0.000 0.500
0.000 0.000 0.500
0.500 0.500 0.000
```

Calculated values
total magnetization: 0.000 μB per cell
raw formation energy: -0.431 eV per atom


Record 6
Material: SnTeRuI2
Method: DFT, PBE
State: relaxed

Structure (POSCAR):
```
SnTeRuI2
1.0
5.449 0.000 0.000
0.000 5.449 0.000
0.000 0.000 5.171
Sn Te Ru I
1 1 1 2
Direct
0.000 0.000 0.000
0.500 0.500 0.000
0.500 0.500 0.500
0.000 0.500 0.500
0.500 0.000 0.500
```

Calculated values
total magnetization: 0.000 μB per cell
raw formation energy: 0.318 eV per atom
relative energy among the computed polymorphs: 0.0 meV per atom


Record 7
Material: SnTeRuI2
Method: DFT, PBE
State: relaxed

Structure (POSCAR):
```
SnTeRuI2
1.0
5.905 0.000 0.000
0.000 5.905 0.000
0.000 0.000 5.835
Sn Te Ru I
1 1 1 2
Direct
0.000 0.000 0.000
0.000 0.000 0.500
0.500 0.500 0.500
0.000 0.500 0.000
0.500 0.000 0.000
```

Calculated values
total magnetization: 3.387 μB per cell
raw formation energy: 1.031 eV per atom
relative energy among the computed polymorphs: 712.3 meV per atom


Record 8
Material: SrRuI2
Method: DFT, PBE
State: relaxed

Structure (POSCAR):
```
SrRuI2
1.0
0.000 3.835 3.835
3.835 0.000 3.835
3.835 3.835 0.000
Sr Ru I
1 1 2
Direct
0.000 0.000 0.000
0.500 0.500 0.500
0.250 0.250 0.250
0.750 0.750 0.750
```

Calculated values
total magnetization: 2.005 μB per cell
raw formation energy: -0.027 eV per atom
relative energy among the computed polymorphs: 51.9 meV per atom


- Look up the raw formation energy of the first one.
  1.593 eV per atom


- Look up the raw formation energy of the fourth one.
  0.145 eV per atom